VASP calculation (PBE) on an optimized crystal structure of TlFe2CuH.

POSCAR file:
```
TlFe2CuH
1.0
4.559 0.000 0.000
0.000 4.559 0.000
0.000 0.000 5.052
Tl Fe Cu H
1 2 1 1
direct
0.000 0.000 0.000 Tl
0.000 0.500 0.500 Fe
0.500 0.000 0.500 Fe
0.000 0.000 0.500 Cu
0.500 0.500 0.000 H
```

Calculated total energy   -0.2890 Ry/atom
DOS(E_F)   7.91 states/eV per cell
Magnetization   1.40 μB per atom